A geometry-optimized Os3Cl structure, computed with PBE-GGA.

Unit cell a=9.8355 b=2.7969 c=4.3637 alpha=90.00 beta=91.13 gamma=90.00
Closest atoms and distances in Å follow each position.
Space group C2/m (No. 12)
Unique sites:
Os 0.0000 0.0000 0.0000 [2 per cell]  4 Cl 2.59, 6 Os 2.74-2.80
Os 0.2177 0.5000 0.2360 [4 per cell]  1 Cl 2.45, 4 Os 2.58-2.74
Cl 0.0000 0.5000 0.5000 [2 per cell]  6 Os 2.45-2.59

Computed properties:
- ΔE_f (raw) (eV/atom) = 0.96
- Fermi-level density of states (states/eV/f.u.) = 2.78
- polymorph energy (0 for the lowest one) (kJ/mol of formula units) = 134
- volume (A^3/atom) = 15.00
- total magnetization (μB per formula unit) = 0.00

***

A geometry-optimized PmPaPb structure, computed with PBE-GGA.

Unit cell a=3.4270 b=5.4147 c=9.3539 alpha=90.00 beta=90.00 gamma=90.00
Closest atoms and distances in Å follow each position.
Space group Pmmn (No. 59, origin choice 2)
Unique sites:
Pm 0.2500 0.2500 0.0584 [2 per cell]  4 Pb 3.30-3.43, 6 Pm 3.39-3.43, 2 Pa 3.59
Pa 0.2500 0.7500 0.6049 [2 per cell]  5 Pb 3.23-3.44, 2 Pa 3.43, 2 Pm 3.59
Pb 0.2500 0.7500 0.2598 [2 per cell]  5 Pa 3.23-3.44, 4 Pm 3.30-3.43, 2 Pb 3.43

Computed properties:
- Fermi-level density of states (states/eV/f.u.) = 5.85
- polymorph energy (0 for the lowest one) (kJ/mol of formula units) = 54
- volume (A^3/atom) = 28.93
- total magnetization (μB per formula unit) = 1.50
- formation enthalpy at 0 K (eV per atom) = 0.112

***

A geometry-optimized KRuAu2 structure, computed with PBE-GGA.

Unit cell a=2.9275 b=2.9275 c=30.9262 alpha=90.00 beta=90.00 gamma=120.00
Closest atoms and distances in Å follow each position.
Space group R-3m (No. 166, hexagonal axes)
Unique sites:
K 0.0000 0.0000 0.0000 [3 per cell]  6 K 2.93
Ru 0.0000 0.0000 0.5000 [3 per cell]  6 Au 2.84, 6 Ru 2.93
Au 0.0000 0.0000 0.2406 [6 per cell]  3 Ru 2.84, 6 Au 2.93

Computed properties:
- Fermi-level density of states (states/eV/f.u.) = 2.02
- polymorph energy (0 for the lowest one) (kJ/mol of formula units) = 73
- volume (A^3/atom) = 19.13
- total magnetization (μB per formula unit) = 0.24
- formation enthalpy at 0 K (eV per atom) = 0.507

***

A geometry-optimized AlCdBr6 structure, computed with PBE-GGA.

Unit cell a=6.6526 b=13.0674 c=6.9566 alpha=90.00 beta=113.01 gamma=90.00
Closest atoms and distances in Å follow each position.
Space group C2/m (No. 12)
Unique sites:
Al 0.0000 0.0000 0.0000 [2 per cell]  6 Br 2.50-2.61
Cd 0.0000 0.5000 0.5000 [2 per cell]  4 Br 2.72
Br 0.2041 0.1367 0.2517 [8 per cell]  1 Al 2.50, 1 Cd 2.72
Br 0.2127 0.5000 0.1696 [4 per cell]  1 Al 2.61, 1 Br 2.89

Computed properties:
- ΔE_f (raw) (eV/atom) = -0.74
- volume (A^3/atom) = 34.79
- total magnetization (μB per formula unit) = 0.96

***

A geometry-optimized Ti2Ge2Sb structure, computed with PBE-GGA.

Unit cell a=3.6516 b=3.6516 c=13.8841 alpha=90.00 beta=90.00 gamma=90.00
Closest atoms and distances in Å follow each position.
Space group I4/mmm (No. 139)
Unique sites:
Ti 0.0000 0.0000 0.1040 [4 per cell]  4 Ge 2.73, 1 Ti 2.89, 4 Sb 2.96
Ge 0.0000 0.5000 0.2500 [4 per cell]  4 Ge 2.58, 4 Ti 2.73
Sb 0.0000 0.0000 0.5000 [2 per cell]  8 Ti 2.96

Computed properties:
- ΔE_f (raw) (eV/atom) = -0.37
- Fermi-level density of states (states/eV/f.u.) = 2.23
- polymorph energy (0 for the lowest one) (kJ/mol of formula units) = 0
- volume (A^3/atom) = 18.51
- total magnetization (μB per formula unit) = 0.77

***

A geometry-optimized FeSnAu3 structure, computed with PBE-GGA.

Unit cell a=5.1561 b=5.1561 c=5.1561 alpha=90.00 beta=90.00 gamma=90.00
Closest atoms and distances in Å follow each position.
Space group Pm-3m (No. 221)
Unique sites:
Fe 0.0000 0.0000 0.0000 [1 per cell]  12 Au 3.65
Sn 0.5000 0.5000 0.5000 [1 per cell]  6 Au 2.58
Au 0.0000 0.5000 0.5000 [3 per cell]  2 Sn 2.58

Computed properties:
- Fermi-level density of states (states/eV/f.u.) = 10.93
- polymorph energy (0 for the lowest one) (kJ/mol of formula units) = 232
- volume (A^3/atom) = 27.42
- total magnetization (μB per formula unit) = 3.72
- formation enthalpy at 0 K (eV per atom) = 0.997

***

A geometry-optimized KTa2Br structure, computed with PBE-GGA.

Unit cell a=2.8081 b=5.5418 c=7.1390 alpha=90.00 beta=90.00 gamma=90.00
Closest atoms and distances in Å follow each position.
Space group Pmmm (No. 47)
Unique sites:
K 0.0000 0.0000 0.0000 [1 per cell]  2 Br 2.77, 2 K 2.81
Ta 0.5000 0.2459 0.5000 [2 per cell]  4 Ta 2.73-2.82
Br 0.0000 0.5000 0.0000 [1 per cell]  2 K 2.77, 2 Br 2.81

Computed properties:
- ΔE_f (raw) (eV/atom) = 1.20
- Fermi-level density of states (states/eV/f.u.) = 4.48
- polymorph energy (0 for the lowest one) (kJ/mol of formula units) = 382
- volume (A^3/atom) = 27.77
- total magnetization (μB per formula unit) = 0.00

***

A geometry-optimized Sm4CdCuAg2 structure, computed with PBE-GGA.

Unit cell a=5.2406 b=5.2406 c=25.5865 alpha=90.00 beta=90.00 gamma=120.00
Closest atoms and distances in Å follow each position.
Space group R-3m (No. 166, hexagonal axes)
Unique sites:
Sm 0.0000 0.0000 0.1187 [6 per cell]  1 Cu 3.04, 4 Ag 3.12-3.22, 3 Cd 3.27
Sm 0.0000 0.0000 0.3693 [6 per cell]  3 Cu 3.16, 4 Ag 3.19-3.32, 1 Cd 3.35, 3 Sm 3.54
Cd 0.0000 0.0000 0.5000 [3 per cell]  8 Sm 3.27-3.35, 6 Ag 3.62
Cu 0.0000 0.0000 0.0000 [3 per cell]  8 Sm 3.04-3.16
Ag 0.0000 0.0000 0.2445 [6 per cell]  8 Sm 3.12-3.32

Computed properties:
- Fermi-level density of states (states/eV/f.u.) = 6.52
- volume (A^3/atom) = 25.36
- total magnetization (μB per formula unit) = 0.00
- formation enthalpy at 0 K (eV per atom) = -0.255

***

A geometry-optimized Mg6AlSnO8 structure, computed with PBE-GGA.

Unit cell a=4.4654 b=4.4654 c=8.9154 alpha=90.00 beta=90.00 gamma=90.00
Closest atoms and distances in Å follow each position.
Space group P4/mmm (No. 123)
Unique sites:
Mg 0.0000 0.0000 0.0000 [1 per cell]  6 O 2.16-2.23
Mg 0.0000 0.5000 0.2354 [4 per cell]  5 O 2.10-2.23
Mg 0.5000 0.5000 0.0000 [1 per cell]  6 O 2.01-2.23
Al 0.0000 0.0000 0.5000 [1 per cell]  6 O 2.23-2.30
Sn 0.5000 0.5000 0.5000 [1 per cell]  6 O 2.23-2.44
O 0.0000 0.0000 0.2419 [2 per cell]  5 Mg 2.16-2.23, 1 Al 2.30
O 0.0000 0.5000 0.0000 [2 per cell]  6 Mg 2.10-2.23
O 0.0000 0.5000 0.5000 [2 per cell]  2 Sn 2.23, 2 Al 2.23, 2 Mg 2.36
O 0.5000 0.5000 0.2259 [2 per cell]  5 Mg 2.01-2.23

Computed properties:
- ΔE_f (raw) (eV/atom) = -2.13
- Fermi-level density of states (states/eV/f.u.) = 1.72
- polymorph energy (0 for the lowest one) (kJ/mol of formula units) = 112
- volume (A^3/atom) = 11.11
- total magnetization (μB per formula unit) = 0.00

***

A geometry-optimized Ca3ScO4 structure, computed with PBE-GGA.

Unit cell a=8.0172 b=6.7799 c=4.7284 alpha=90.00 beta=90.00 gamma=90.00
Closest atoms and distances in Å follow each position.
Space group Pmn2_1 (No. 31)
Unique sites:
Ca 0.0000 0.1536 0.0000 [2 per cell]  5 O 2.28-2.40
Ca 0.2416 0.3352 0.4992 [4 per cell]  5 O 2.32-2.46
Sc 0.0000 0.8089 0.4797 [2 per cell]  4 O 2.06-2.13
O 0.0000 0.1120 0.5045 [2 per cell]  1 Sc 2.06
O 0.0000 0.8176 0.0302 [2 per cell]  1 Sc 2.13, 3 Ca 2.28-2.32
O 0.2393 0.6944 0.5019 [4 per cell]  1 Sc 2.07

Computed properties:
- ΔE_f (raw) (eV/atom) = -2.86
- Fermi-level density of states (states/eV/f.u.) = 1.65
- volume (A^3/atom) = 16.06
- total magnetization (μB per formula unit) = 0.91

***

A geometry-optimized Y6Ho12In structure, computed with PBE-GGA.

Unit cell a=11.8195 b=11.8195 c=14.8692 alpha=90.00 beta=90.00 gamma=120.00
Closest atoms and distances in Å follow each position.
Space group R-3 (No. 148, hexagonal axes)
Unique sites:
Y 0.0168 0.5905 0.1851 [18 per cell]  7 Ho 3.28-3.65, 1 In 3.39, 2 Y 3.43
Ho 0.0011 0.1739 0.6870 [18 per cell]  4 Y 3.39-3.65, 4 Ho 3.43-3.59, 1 In 3.45
Ho 0.0444 0.1944 0.9160 [18 per cell]  6 Ho 3.25-3.61, 3 Y 3.28-3.44
In 0.0000 0.0000 0.5000 [3 per cell]  6 Y 3.39, 6 Ho 3.45

Computed properties:
- Fermi-level density of states (states/eV/f.u.) = 28.70
- volume (A^3/atom) = 31.56
- total magnetization (μB per formula unit) = 0.00
- formation enthalpy at 0 K (eV per atom) = 0.081

***

A geometry-optimized Pm2Pr5Sm3 structure, computed with PBE-GGA.

Unit cell a=9.5846 b=22.4738 c=6.9371 alpha=90.00 beta=90.00 gamma=90.00
Closest atoms and distances in Å follow each position.
Space group Ibam (No. 72)
Unique sites:
Pm 0.0942 0.1212 0.0000 [8 per cell]  1 Pr 2.96, 1 Sm 3.28
Pr 0.0000 0.2468 0.2500 [8 per cell]  2 Pm 3.43, 4 Pr 3.44-3.47
Pr 0.0000 0.5000 0.2500 [4 per cell]  6 Pr 3.47-3.48
Pr 0.0972 0.3722 0.5000 [8 per cell]  1 Pm 2.96
Sm 0.0000 0.0000 0.2500 [4 per cell]  4 Pm 3.35, 2 Sm 3.47
Sm 0.2482 0.1211 0.5000 [8 per cell]  1 Pm 3.28, 1 Pr 3.35

Computed properties:
- Fermi-level density of states (states/eV/f.u.) = 15.14
- polymorph energy (0 for the lowest one) (kJ/mol of formula units) = 167
- volume (A^3/atom) = 37.36
- total magnetization (μB per formula unit) = 0.00
- formation enthalpy at 0 K (eV per atom) = 0.343